Below is Y2ZrFe after structural relaxation, with properties calculated at the GGA-PBE level.

```
Y2ZrFe
1.0
-2.262 2.262 4.641
2.262 -2.262 4.641
2.262 2.262 -4.641
Y Zr Fe
2 1 1
direct
0.000 0.000 0.000 Y
0.750 0.250 0.500 Y
0.250 0.750 0.500 Zr
0.500 0.500 0.000 Fe
```

calculated formation energy	373	meV per atom
E_tot	-7.112	eV/atom
distance to the lowest polymorph of the same formula	334	meV per atom